PBE PmAg2Hg4, relaxed; calculated density = 12.261 g/cm3; VASP energy = -1.822 eV/atom; ΔE to the lowest computed polymorph = 16 meV/atom; M_tot = 0.0 μB per cell
1.0
4.6405 -3.7631 0.0000
4.6405 3.7631 0.0000
-3.3242 0.0000 4.5102
Pm Ag Hg
1 2 4
Direct
0.0000 0.0000 0.0000
0.4981 0.4981 0.2487
0.5019 0.5019 0.7513
0.0010 0.3931 0.6971
0.3931 0.0010 0.6971
0.6069 0.9990 0.3029
0.9990 0.6069 0.3029


PBE Pr2UAs3Pt4, relaxed; calculated density = 11.956 g/cm3; VASP energy = -6.698 eV/atom; M_tot = 2.7 μB per cell
1.0
4.2917 0.0000 0.0000
0.0000 4.2917 0.0000
0.0000 0.0000 11.4987
Pr U As Pt
2 1 3 4
Direct
0.0000 0.5000 0.2180
0.5000 0.0000 0.7820
0.0000 0.0000 0.5000
0.0000 0.5000 0.8750
0.5000 0.0000 0.1250
0.5000 0.5000 0.5000
0.0000 0.0000 0.0000
0.0000 0.5000 0.6606
0.5000 0.0000 0.3394
0.5000 0.5000 0.0000